1.
First-principles (GGA-PBE) data for crystalline Hf5Ti5Ge6 at its relaxed geometry, as listed in Alexandria via LeMat-Bulk.

Structure (POSCAR):
```
Hf5Ti5Ge6
1.0
5.327 0.000 0.000
0.000 6.709 3.926
0.000 -6.709 3.926
Hf Ti Ge
5 5 6
direct
0.000 0.000 0.000 Hf
0.000 0.253 0.498 Hf
0.000 0.498 0.253 Hf
0.500 0.004 0.252 Hf
0.500 0.252 0.004 Hf
0.250 0.586 0.921 Ti
0.250 0.921 0.586 Ti
0.500 0.513 0.513 Ti
0.750 0.586 0.921 Ti
0.750 0.921 0.586 Ti
0.000 0.253 0.855 Ge
0.000 0.648 0.648 Ge
0.000 0.855 0.253 Ge
0.500 0.258 0.647 Ge
0.500 0.647 0.258 Ge
0.500 0.853 0.853 Ge
```

Summary:
The calculation puts the energy of formation at -0.74 eV/atom. Its symmetry is No. 38.


2.
First-principles (GGA-PBE) data for crystalline ScBeW at its relaxed geometry, as listed in Alexandria via LeMat-Bulk.

Structure (POSCAR):
```
ScBeW
1.0
4.965 0.000 0.000
0.000 5.189 0.000
0.000 0.000 7.497
Sc Be W
4 4 4
direct
0.000 0.250 0.118 Sc
0.000 0.750 0.882 Sc
0.500 0.250 0.382 Sc
0.500 0.750 0.618 Sc
0.000 0.000 0.500 Be
0.000 0.500 0.500 Be
0.500 0.000 0.000 Be
0.500 0.500 0.000 Be
0.250 0.250 0.750 W
0.250 0.750 0.250 W
0.750 0.250 0.750 W
0.750 0.750 0.250 W
```

Summary:
The calculation puts the energy of formation at 0.03 eV/atom. Its symmetry is No. 74.